Compound: GaTe2I
Source: Alexandria
Functional: PBE
Structure: relaxed

a = 9.2482 Å, b = 9.2482 Å, c = 9.2482 Å
α = 26.76°, β = 26.76°, γ = 26.76°
Closest atoms and distances in Å follow each position.
Element x y z (fractional)
Ga (0.0000, 0.0000, 0.0000)  6 Te 2.88
Te (0.3888, 0.3888, 0.3888)  3 Ga 2.88, 1 I 2.97
Te (0.6112, 0.6112, 0.6112)  3 Ga 2.88, 1 I 2.97
I (0.5000, 0.5000, 0.5000)  2 Te 2.97

Values from the calculation:
**ΔE to the lowest computed polymorph**: 173 meV/atom
**Size of the total moment**: 0.00 Bohr magnetons per cell

---

Compound: Ce2AgTe
Source: Alexandria
Functional: PBE
Structure: relaxed

a = 8.5197 Å, b = 8.5197 Å, c = 8.5197 Å
α = 28.33°, β = 28.33°, γ = 28.33°
Closest atoms and distances in Å follow each position.
Element x y z (fractional)
Ce (0.0000, 0.0000, 0.0000)  3 Te 3.16, 3 Ag 3.17
Ce (0.1674, 0.1674, 0.1674)  3 Te 3.15, 3 Ag 3.16
Ag (0.7508, 0.7508, 0.7508)  6 Ce 3.16-3.17
Te (0.5833, 0.5833, 0.5833)  6 Ce 3.15-3.16

Values from the calculation:
**ΔE to the lowest computed polymorph**: 65 meV/atom
**Size of the total moment**: 2.43 Bohr magnetons per cell

---

Compound: CaGa2As2
Source: Alexandria
Functional: PBE
Structure: relaxed

a = 5.6712 Å, b = 5.6712 Å, c = 5.6712 Å
α = 128.19°, β = 128.19°, γ = 76.32°
Closest atoms and distances in Å follow each position.
Element x y z (fractional)
Ca (0.0000, 0.0000, 0.0000)  2 Ga 3.21, 8 As 3.33
Ga (0.3599, 0.3599, 0.0000)  1 Ga 2.50, 4 As 2.66
Ga (0.6401, 0.6401, 0.0000)  1 Ga 2.50, 4 As 2.66
As (0.2500, 0.7500, 0.5000)  4 Ga 2.66
As (0.7500, 0.2500, 0.5000)  4 Ga 2.66

Values from the calculation:
**ΔE to the lowest computed polymorph**: 215 meV/atom
**Size of the total moment**: 0.00 Bohr magnetons per cell
**Calculated formation energy**: -41 kJ/mol of atoms

---

Compound: SbMoN
Source: Alexandria
Functional: PBE
Structure: relaxed

a = 10.4570 Å, b = 10.4570 Å, c = 10.4570 Å
α = 19.02°, β = 19.02°, γ = 19.02°
Closest atoms and distances in Å follow each position.
Element x y z (fractional)
Sb (0.1111, 0.1111, 0.1111)  3 Mo 2.96, 3 N 3.18
Sb (0.8889, 0.8889, 0.8889)  3 Mo 2.96, 3 N 3.18
Mo (0.3734, 0.3734, 0.3734)  4 N 2.02-2.18
Mo (0.6266, 0.6266, 0.6266)  4 N 2.02-2.18
N (0.3027, 0.3027, 0.3027)  4 Mo 2.02-2.18
N (0.6973, 0.6973, 0.6973)  4 Mo 2.02-2.18

Values from the calculation:
**E_tot**: -7.799 eV/atom
**Size of the total moment**: 0.00 Bohr magnetons per cell

---

Compound: La2AlRu2
Source: Alexandria
Functional: PBE
Structure: relaxed

a = 5.8945 Å, b = 5.8945 Å, c = 7.9121 Å
α = 106.01°, β = 106.01°, γ = 58.49°
Closest atoms and distances in Å follow each position.
Element x y z (fractional)
La (0.0083, 0.2892, 0.1493)  4 Ru 2.82-3.10
La (0.2892, 0.0083, 0.6493)  4 Ru 2.82-3.10
La (0.7108, 0.9917, 0.3507)  4 Ru 2.82-3.10
La (0.9917, 0.7108, 0.8507)  4 Ru 2.82-3.10
Al (0.4065, 0.5935, 0.2500)  4 Ru 2.59-2.61
Al (0.5935, 0.4065, 0.7500)  4 Ru 2.59-2.61
Ru (0.2112, 0.5195, 0.4731)  2 Al 2.59-2.61, 1 Ru 2.77, 1 La 2.82
Ru (0.4805, 0.7888, 0.0269)  2 Al 2.59-2.61, 1 Ru 2.77, 1 La 2.82
Ru (0.5195, 0.2112, 0.9731)  2 Al 2.59-2.61, 1 Ru 2.77, 1 La 2.82
Ru (0.7888, 0.4805, 0.5269)  2 Al 2.59-2.61, 1 Ru 2.77, 1 La 2.82

Values from the calculation:
**Size of the total moment**: 0.00 Bohr magnetons per cell
**Calculated formation energy**: -41 kJ/mol of atoms

---

Compound: Sm3Te3Cl
Source: Alexandria
Functional: PBE
Structure: relaxed

a = 4.4319 Å, b = 4.4319 Å, c = 11.6887 Å
α = 90.00°, β = 90.00°, γ = 90.00°
Closest atoms and distances in Å follow each position.
Element x y z (fractional)
Sm (0.0000, 0.0000, 0.0000)  6 Te 3.13-3.22
Sm (0.5000, 0.5000, 0.2680)  1 Cl 2.71
Sm (0.5000, 0.5000, 0.7320)  1 Cl 2.71
Te (0.0000, 0.0000, 0.2752)  5 Sm 3.13-3.22
Te (0.0000, 0.0000, 0.7248)  5 Sm 3.13-3.22
Te (0.5000, 0.5000, 0.0000)  6 Sm 3.13
Cl (0.5000, 0.5000, 0.5000)  2 Sm 2.71

Values from the calculation:
**E_tot**: -5.196 eV/atom
**Size of the total moment**: 0.00 Bohr magnetons per cell

---

Compound: AcGeBrN2
Source: Alexandria
Functional: PBE
Structure: relaxed

a = 7.6891 Å, b = 4.2398 Å, c = 7.9678 Å
α = 90.00°, β = 117.69°, γ = 90.00°
Closest atoms and distances in Å follow each position.
Element x y z (fractional)
Ac (0.2165, 0.2500, 0.1922)  4 N 2.51-2.75
Ac (0.7835, 0.7500, 0.8078)  4 N 2.51-2.75
Ge (0.3504, 0.7500, 0.9423)  2 N 1.82-1.85
Ge (0.6496, 0.2500, 0.0577)  2 N 1.82-1.85
Br (0.2828, 0.7500, 0.5336)  1 Ge 3.05, 2 Ac 3.30
Br (0.7172, 0.2500, 0.4664)  1 Ge 3.05, 2 Ac 3.30
N (0.1498, 0.7500, 0.0032)  1 Ge 1.82
N (0.3775, 0.2500, 0.9479)  1 Ge 1.85
N (0.6225, 0.7500, 0.0521)  1 Ge 1.85
N (0.8502, 0.2500, 0.9968)  1 Ge 1.82

Values from the calculation:
**E_tot**: -6.139 eV/atom
**Size of the total moment**: 0.00 Bohr magnetons per cell

---

Compound: SrTaTe2
Source: Alexandria
Functional: PBE
Structure: relaxed

a = 7.9695 Å, b = 7.9695 Å, c = 7.9695 Å
α = 152.61°, β = 151.30°, γ = 40.08°
Closest atoms and distances in Å follow each position.
Element x y z (fractional)
Sr (0.0000, 0.0000, 0.0000)  6 Te 3.23-3.26
Ta (0.2468, 0.7468, 0.5000)  6 Te 2.80-2.94
Te (0.3847, 0.3847, 0.0000)  2 Ta 2.80
Te (0.6733, 0.1733, 0.5000)  4 Ta 2.94, 2 Sr 3.26

Values from the calculation:
**ΔE to the lowest computed polymorph**: 30 meV/atom
**Size of the total moment**: 0.00 Bohr magnetons per cell